# PBE MnNi4Ge, optimized geometry
data_MnNi4Ge
_cell_length_a 6.669
_cell_length_b 6.669
_cell_length_c 6.669
_cell_angle_alpha 90.00
_cell_angle_beta 90.00
_cell_angle_gamma 90.00
_space_group_name_H-M_alt 'F -4 3 m'
_space_group_IT_number 216
_space_group_name_Hall 'F -4 2 3'
loop_
_atom_site_label
_atom_site_fract_x
_atom_site_fract_y
_atom_site_fract_z
_atom_site_occupancy
Mn1 0.000 0.000 0.000 1
Ni1 0.125 0.125 0.625 1
Ge1 0.250 0.250 0.250 1
# DFT total energy ... -147.58 eV for the cell shown
# ΔE to the lowest computed polymorph ... 0.183 eV/atom
# Mass density ... 8.1 Mg/m³
# Magnetic moment ... 4.960 μB per formula unit
# Formation energy ... 0.018 eV per formula unit